## Hf6IrPd3 (PBE-GGA)

Data for a relaxed structure of Hf6IrPd3. Values from VASP.

- ρ: 13.0 g/cm3
- Formation enthalpy at 0 K: -0.357 eV/atom
- Spin magnetization: 0.00 μB/cell

```
&SYSTEM
  ibrav = 0, nat = 20, ntyp = 3
/
ATOMIC_SPECIES
Hf 178.49 Hf.upf
Ir 192.22 Ir.upf
Pd 106.42 Pd.upf
CELL_PARAMETERS angstrom
5.304 0.000 0.000
0.000 8.256 0.000
-5.218 0.000 9.229
ATOMIC_POSITIONS crystal
Hf 0.012 0.184 0.437
Hf 0.012 0.316 0.937
Hf 0.356 0.127 0.247
Hf 0.356 0.373 0.747
Hf 0.358 0.672 0.439
Hf 0.358 0.828 0.939
Hf 0.642 0.172 0.061
Hf 0.642 0.328 0.561
Hf 0.644 0.627 0.253
Hf 0.644 0.873 0.753
Hf 0.988 0.684 0.063
Hf 0.988 0.816 0.563
Ir 0.000 0.000 0.000
Ir 0.000 0.500 0.500
Pd 0.070 0.090 0.742
Pd 0.070 0.410 0.242
Pd 0.500 0.000 0.500
Pd 0.500 0.500 0.000
Pd 0.930 0.590 0.758
Pd 0.930 0.910 0.258
```

## YEr3Sb3 (PBE-GGA)

Data for a relaxed structure of YEr3Sb3. Values from VASP.

- ρ: 7.6 g/cm3
- Formation energy without anion corrections: -0.881 eV/atom
- Energy relative to the lowest polymorph listed for this composition: 87 meV per atom
- Spin magnetization: 0.00 μB/cell

```
&SYSTEM
  ibrav = 0, nat = 14, ntyp = 3
/
ATOMIC_SPECIES
Y 88.91 Y.upf
Er 167.26 Er.upf
Sb 121.76 Sb.upf
CELL_PARAMETERS angstrom
4.456 2.572 6.099
-4.456 2.572 6.099
0.000 -5.145 6.099
ATOMIC_POSITIONS crystal
Y 0.166 0.166 0.166
Y 0.834 0.834 0.834
Er 0.157 0.414 0.678
Er 0.322 0.843 0.586
Er 0.414 0.678 0.157
Er 0.586 0.322 0.843
Er 0.678 0.157 0.414
Er 0.843 0.586 0.322
Sb 0.029 0.802 0.421
Sb 0.198 0.579 0.971
Sb 0.421 0.029 0.802
Sb 0.579 0.971 0.198
Sb 0.802 0.421 0.029
Sb 0.971 0.198 0.579
```

## Ca4LaTl (PBE-GGA)

Data for a relaxed structure of Ca4LaTl. Values from VASP.

- ρ: 3.5 g/cm3
- Formation enthalpy at 0 K: 0.230 eV/atom
- Spin magnetization: 1.11 μB/cell

```
&SYSTEM
  ibrav = 0, nat = 6, ntyp = 3
/
ATOMIC_SPECIES
Ca 40.08 Ca.upf
La 138.91 La.upf
Tl 204.38 Tl.upf
CELL_PARAMETERS angstrom
0.000 4.908 4.908
4.908 0.000 4.908
4.908 4.908 0.000
ATOMIC_POSITIONS crystal
Ca 0.125 0.125 0.125
Ca 0.125 0.125 0.625
Ca 0.125 0.625 0.125
Ca 0.625 0.125 0.125
La 0.750 0.750 0.750
Tl 0.500 0.500 0.500
```

## Ca2Tb5Sm4 (PBE-GGA)

Data for a relaxed structure of Ca2Tb5Sm4. Values from VASP.

- ρ: 6.6 g/cm3
- Formation enthalpy at 0 K: 0.063 eV/atom
- Spin magnetization: 0.00 μB/cell

```
&SYSTEM
  ibrav = 0, nat = 11, ntyp = 3
/
ATOMIC_SPECIES
Ca 40.08 Ca.upf
Tb 158.93 Tb.upf
Sm 150.36 Sm.upf
CELL_PARAMETERS angstrom
6.301 0.000 0.000
-1.053 8.032 0.000
-2.121 -2.745 7.366
ATOMIC_POSITIONS crystal
Ca 0.134 0.230 0.045
Ca 0.866 0.770 0.955
Tb 0.324 0.861 0.765
Tb 0.416 0.687 0.142
Tb 0.500 0.500 0.500
Tb 0.584 0.313 0.858
Tb 0.676 0.139 0.235
Sm 0.050 0.408 0.671
Sm 0.234 0.047 0.422
Sm 0.766 0.953 0.578
Sm 0.950 0.592 0.329
```